# Ac5Pm2Sm2, relaxed, DFT GGA-PBE
data_Ac5Pm2Sm2
_symmetry_space_group_name_H-M 'P 1'
_symmetry_Int_Tables_number 1
_cell_length_a 6.617
_cell_length_b 6.645
_cell_length_c 8.618
_cell_angle_alpha 82.41
_cell_angle_beta 74.86
_cell_angle_gamma 80.18
loop_
_symmetry_equiv_pos_as_xyz
'x,y,z'
loop_
_atom_site_label
_atom_site_type_symbol
_atom_site_fract_x
_atom_site_fract_y
_atom_site_fract_z
Ac1 Ac 0.000 0.000 0.000
Ac2 Ac 0.326 0.665 0.670
Ac3 Ac 0.437 0.890 0.225
Ac4 Ac 0.563 0.110 0.775
Ac5 Ac 0.674 0.335 0.330
Pm1 Pm 0.109 0.229 0.551
Pm2 Pm 0.891 0.771 0.449
Sm1 Sm 0.224 0.449 0.113
Sm2 Sm 0.776 0.551 0.887
# - energy relative to the elements (meV per atom) = 44

=====

# Pr5TmZn4, relaxed, DFT GGA-PBE
data_Pr5TmZn4
_symmetry_space_group_name_H-M 'P 1'
_symmetry_Int_Tables_number 1
_cell_length_a 3.707
_cell_length_b 3.707
_cell_length_c 19.805
_cell_angle_alpha 90.00
_cell_angle_beta 90.00
_cell_angle_gamma 90.00
loop_
_symmetry_equiv_pos_as_xyz
'x,y,z'
loop_
_atom_site_label
_atom_site_type_symbol
_atom_site_fract_x
_atom_site_fract_y
_atom_site_fract_z
Pr1 Pr 0.000 0.000 0.000
Pr2 Pr 0.000 0.000 0.187
Pr3 Pr 0.000 0.000 0.374
Pr4 Pr 0.000 0.000 0.626
Pr5 Pr 0.000 0.000 0.813
Tm1 Tm 0.500 0.500 0.500
Zn1 Zn 0.500 0.500 0.094
Zn2 Zn 0.500 0.500 0.282
Zn3 Zn 0.500 0.500 0.718
Zn4 Zn 0.500 0.500 0.906
# - energy relative to the elements (meV per atom) = -230

=====

# Pr2Nd2Sn2H, relaxed, DFT GGA-PBE
data_Pr2Nd2Sn2H
_symmetry_space_group_name_H-M 'P 1'
_symmetry_Int_Tables_number 1
_cell_length_a 9.404
_cell_length_b 9.404
_cell_length_c 9.404
_cell_angle_alpha 150.89
_cell_angle_beta 150.89
_cell_angle_gamma 41.64
loop_
_symmetry_equiv_pos_as_xyz
'x,y,z'
loop_
_atom_site_label
_atom_site_type_symbol
_atom_site_fract_x
_atom_site_fract_y
_atom_site_fract_z
Pr1 Pr 0.179 0.179 0.000
Pr2 Pr 0.821 0.821 0.000
Nd1 Nd 0.000 0.500 0.500
Nd2 Nd 0.500 0.000 0.500
Sn1 Sn 0.364 0.364 0.000
Sn2 Sn 0.636 0.636 0.000
H1 H 0.000 0.000 0.000
# - calculated total energy (eV per atom) = -4.968

=====

# Sm5In2H, relaxed, DFT GGA-PBE
data_Sm5In2H
_symmetry_space_group_name_H-M 'P 1'
_symmetry_Int_Tables_number 1
_cell_length_a 6.769
_cell_length_b 6.769
_cell_length_c 6.769
_cell_angle_alpha 117.18
_cell_angle_beta 117.18
_cell_angle_gamma 94.96
loop_
_symmetry_equiv_pos_as_xyz
'x,y,z'
loop_
_atom_site_label
_atom_site_type_symbol
_atom_site_fract_x
_atom_site_fract_y
_atom_site_fract_z
Sm1 Sm 0.000 0.000 0.000
Sm2 Sm 0.496 0.496 0.501
Sm3 Sm 0.496 0.994 0.000
Sm4 Sm 0.994 0.496 0.000
Sm5 Sm 0.994 0.994 0.499
In1 In 0.497 0.997 0.500
In2 In 0.997 0.497 0.500
H1 H 0.252 0.252 0.000
# - calculated total energy (eV per atom) = -4.251